! Tm3TlPb2 PBE optimized geometry; values from VASP
! - Excess energy over the best structure of this formula in the dataset: 0.000 eV/atom
! - Space group: C2/c (15)
! - Crystal system: monoclinic
&SYSTEM
  ibrav = 0, nat = 12, ntyp = 3
/
ATOMIC_SPECIES
Tm 168.93 Tm.upf
Tl 204.38 Tl.upf
Pb 207.20 Pb.upf
CELL_PARAMETERS angstrom
-0.5326 1.2984 -6.1607
4.7987 -4.0621 -1.2709
-6.3029 -5.7091 2.5819
ATOMIC_POSITIONS crystal
Tm 0.6214 0.2500 0.0000
Tm 0.3786 0.7500 0.0000
Tm 0.2822 0.0910 0.3348
Tm 0.9475 0.4090 0.6652
Tm 0.0525 0.5910 0.3348
Tm 0.7178 0.9090 0.6652
Tl 0.8830 0.7500 0.0000
Tl 0.1170 0.2500 0.0000
Pb 0.5534 0.5721 0.3294
Pb 0.7760 0.0721 0.3294
Pb 0.2240 0.9279 0.6706
Pb 0.4466 0.4279 0.6706

! Cs3RbMn2Cl8 PBE optimized geometry; values from VASP
! - Raw formation energy: -1.622 eV per atom
! - Space group: P-3m1 (164)
! - Crystal system: trigonal
&SYSTEM
  ibrav = 0, nat = 14, ntyp = 4
/
ATOMIC_SPECIES
Cs 132.91 Cs.upf
Rb 85.47 Rb.upf
Mn 54.94 Mn.upf
Cl 35.45 Cl.upf
CELL_PARAMETERS angstrom
-6.0078 1.5593 4.9496
3.3390 -7.2022 -0.0446
6.4536 2.9492 6.9041
ATOMIC_POSITIONS crystal
Cs 0.3333 0.6667 0.6314
Cs 0.6667 0.3333 0.3686
Cs 0.0000 0.0000 0.0000
Rb 0.0000 0.0000 0.5000
Mn 0.3333 0.6667 0.1984
Mn 0.6667 0.3333 0.8016
Cl 0.3333 0.6667 0.9664
Cl 0.6667 0.3333 0.0336
Cl 0.1771 0.8229 0.2992
Cl 0.8229 0.1771 0.7008
Cl 0.1771 0.3541 0.2992
Cl 0.8229 0.6459 0.7008
Cl 0.6459 0.8229 0.2992
Cl 0.3541 0.1771 0.7008

! MgPbAu4 PBE optimized geometry; values from VASP
! - Excess energy over the best structure of this formula in the dataset: 0.000 eV/atom
! - Space group: P6/mmm (191)
! - Crystal system: hexagonal
&SYSTEM
  ibrav = 0, nat = 6, ntyp = 3
/
ATOMIC_SPECIES
Mg 24.30 Mg.upf
Pb 207.20 Pb.upf
Au 196.97 Au.upf
CELL_PARAMETERS angstrom
-4.0875 2.5153 0.6555
0.0109 -3.8967 -2.8775
-1.3955 -3.5025 4.7379
ATOMIC_POSITIONS crystal
Mg 0.0000 0.0000 0.0000
Pb 0.0000 0.0000 0.5000
Au 0.6667 0.3333 0.7646
Au 0.3333 0.6667 0.2354
Au 0.6667 0.3333 0.2354
Au 0.3333 0.6667 0.7646

! La2Pm6Tm3 PBE optimized geometry; values from VASP
! - Excess energy over the best structure of this formula in the dataset: 0.000 eV/atom
! - Space group: C2/m (12)
! - Crystal system: monoclinic
&SYSTEM
  ibrav = 0, nat = 11, ntyp = 3
/
ATOMIC_SPECIES
La 138.91 La.upf
Pm 145.00 Pm.upf
Tm 168.93 Tm.upf
CELL_PARAMETERS angstrom
5.9407 0.0000 1.7774
2.9704 5.3749 0.8887
-1.3475 0.0000 11.8022
ATOMIC_POSITIONS crystal
La 0.1669 0.6662 0.5000
La 0.8331 0.3338 0.5000
Pm 0.4150 0.6671 0.7561
Pm 0.7481 0.0000 0.7558
Pm 0.0821 0.3329 0.7561
Pm 0.2519 0.0000 0.2442
Pm 0.5850 0.3329 0.2439
Pm 0.9179 0.6671 0.2439
Tm 0.0000 0.0000 0.0000
Tm 0.3344 0.3311 0.0000
Tm 0.6656 0.6689 0.0000

! Ca2HgOsSe PBE optimized geometry; values from VASP
! - Raw formation energy: 0.550 eV per atom
! - Space group: P4/mmm (123)
! - Crystal system: tetragonal
&SYSTEM
  ibrav = 0, nat = 5, ntyp = 4
/
ATOMIC_SPECIES
Ca 40.08 Ca.upf
Os 190.23 Os.upf
Hg 200.59 Hg.upf
Se 78.96 Se.upf
CELL_PARAMETERS angstrom
-2.7933 -4.4675 -1.1249
2.2401 -2.4092 4.0059
-3.9754 1.6725 3.2289
ATOMIC_POSITIONS crystal
Ca 0.0000 0.0000 0.5000
Ca 0.5000 0.0000 0.0000
Os 0.5000 0.5000 0.5000
Hg 0.0000 0.5000 0.0000
Se 0.0000 0.0000 0.0000

! LiTl2PbCl6 PBE optimized geometry; values from VASP
! - Raw formation energy: -1.074 eV per atom
! - Space group: P2_1/c (14)
! - Crystal system: monoclinic
&SYSTEM
  ibrav = 0, nat = 20, ntyp = 4
/
ATOMIC_SPECIES
Li 6.94 Li.upf
Tl 204.38 Tl.upf
Pb 207.20 Pb.upf
Cl 35.45 Cl.upf
CELL_PARAMETERS angstrom
-6.6036 -0.7704 2.3505
0.1252 -7.3063 -2.0431
3.9285 -2.5399 9.3236
ATOMIC_POSITIONS crystal
Li 0.5000 0.0000 0.5000
Li 0.0000 0.5000 0.0000
Tl 0.0327 0.9186 0.2469
Tl 0.5327 0.5814 0.7469
Tl 0.9673 0.0814 0.7531
Tl 0.4673 0.4186 0.2531
Pb 0.5000 0.0000 0.0000
Pb 0.0000 0.5000 0.5000
Cl 0.3022 0.6779 0.0642
Cl 0.8022 0.8221 0.5642
Cl 0.6978 0.3221 0.9358
Cl 0.1978 0.1779 0.4358
Cl 0.3319 0.7031 0.4343
Cl 0.8319 0.7969 0.9343
Cl 0.6681 0.2969 0.5657
Cl 0.1681 0.2031 0.0657
Cl 0.8593 0.5542 0.2365
Cl 0.3593 0.9458 0.7365
Cl 0.1407 0.4458 0.7635
Cl 0.6407 0.0542 0.2635

! Sr2Li3Ni12Ir PBE optimized geometry; values from VASP
! - VASP energy: -4.5921 eV per atom
! - Space group: R-3m (166)
! - Crystal system: trigonal
&SYSTEM
  ibrav = 0, nat = 18, ntyp = 4
/
ATOMIC_SPECIES
Sr 87.62 Sr.upf
Li 6.94 Li.upf
Ni 58.69 Ni.upf
Ir 192.22 Ir.upf
CELL_PARAMETERS angstrom
9.4062 2.1026 1.4914
6.4736 7.1407 1.4914
6.4736 3.7682 6.2462
ATOMIC_POSITIONS crystal
Sr 0.6485 0.6485 0.6485
Sr 0.3515 0.3515 0.3515
Li 0.5000 0.0000 0.0000
Li 0.0000 0.5000 0.0000
Li 0.0000 0.0000 0.5000
Ni 0.4148 0.4148 0.8118
Ni 0.9328 0.9328 0.3565
Ni 0.3565 0.9328 0.9328
Ni 0.8118 0.4148 0.4148
Ni 0.9328 0.3565 0.9328
Ni 0.4148 0.8118 0.4148
Ni 0.5852 0.5852 0.1882
Ni 0.0672 0.0672 0.6435
Ni 0.6435 0.0672 0.0672
Ni 0.1882 0.5852 0.5852
Ni 0.0672 0.6435 0.0672
Ni 0.5852 0.1882 0.5852
Ir 0.0000 0.0000 0.0000

! InFePCl2 PBE optimized geometry; values from VASP
! - Raw formation energy: 0.549 eV per atom
! - Excess energy over the best structure of this formula in the dataset: 0.657 eV/atom
! - Space group: P4/mmm (123)
! - Crystal system: tetragonal
&SYSTEM
  ibrav = 0, nat = 5, ntyp = 4
/
ATOMIC_SPECIES
P 30.97 P.upf
Cl 35.45 Cl.upf
Fe 55.84 Fe.upf
In 114.82 In.upf
CELL_PARAMETERS angstrom
5.0479 0.0000 0.0000
0.0000 5.0479 0.0000
0.0000 0.0000 5.2652
ATOMIC_POSITIONS crystal
P 0.0000 0.0000 0.5000
Cl 0.0000 0.5000 0.0000
Cl 0.5000 0.0000 0.0000
Fe 0.5000 0.5000 0.5000
In 0.0000 0.0000 0.0000